# 1
This record from Alexandria describes a geometry-optimized AcNdCo structure. The functional is PBE.

Cell lengths 4.1314, 4.1314, 6.5624 Å; angles 90.00, 90.00, 120.00 degrees
Space group P3m1 (No. 156)
Unique sites:
Ac: 0.0000 0.0000 0.0000 (multiplicity 1)
Nd: 0.3333 0.6667 0.4551 (multiplicity 1)
Co: 0.6667 0.3333 0.2383 (multiplicity 1)

Summary:
The calculated formation energy comes out at -0.4 kJ/mol of atoms. The density of states at the Fermi level comes out at 2.74 states/eV/cell. The energy above the most stable polymorph in this dataset is 30 meV per atom. The uncorrected energy comes out at -15.99 eV/cell.


# 2
This record from Alexandria describes a geometry-optimized SrTlF6 structure. The functional is PBE.

Cell lengths 5.3761, 5.4108, 6.4310 Å; angles 65.77, 65.42, 60.86 degrees
Space group P-1 (No. 2)
Unique sites:
Sr: 0.0000 0.0000 0.0000 (multiplicity 1)
Tl: 0.5000 0.5000 0.5000 (multiplicity 1)
F: 0.0970 0.4426 0.7348 (multiplicity 2)
F: 0.2812 0.8958 0.2645 (multiplicity 2)
F: 0.4415 0.7280 0.7332 (multiplicity 2)

Summary:
The density of states at the Fermi level comes out at 6.05 states/eV/cell. The energy above the most stable polymorph in this dataset is 24 meV per atom. The uncorrected energy comes out at -33.51 eV/cell.


# 3
This record from Alexandria describes a geometry-optimized TlTcSeN2 structure. The functional is PBE.

Cell lengths 3.9392, 3.9392, 5.4496 Å; angles 90.00, 90.00, 90.00 degrees
Space group P4/mmm (No. 123)
Unique sites:
Tl: 0.0000 0.0000 0.0000 (multiplicity 1)
Tc: 0.5000 0.5000 0.5000 (multiplicity 1)
Se: 0.5000 0.5000 0.0000 (multiplicity 1)
N: 0.0000 0.5000 0.5000 (multiplicity 2)

Summary:
The density of states at the Fermi level comes out at 2.93 states/eV/cell. The energy above the most stable polymorph in this dataset is 0 meV per atom. The uncorrected energy comes out at -30.38 eV/cell.


# 4
This record from Alexandria describes a geometry-optimized Sr2Hf2Tl structure. The functional is PBE.

Cell lengths 4.4985, 4.4985, 15.7420 Å; angles 90.00, 90.00, 90.00 degrees
Space group I4/mmm (No. 139)
Unique sites:
Sr: 0.0000 0.5000 0.2500 (multiplicity 4)
Hf: 0.0000 0.0000 0.0787 (multiplicity 4)
Tl: 0.0000 0.0000 0.5000 (multiplicity 2)

Summary:
The calculated formation energy comes out at 91.7 kJ/mol of atoms. The density of states at the Fermi level comes out at 14.30 states/eV/cell. The energy above the most stable polymorph in this dataset is 498 meV per atom. The uncorrected energy comes out at -41.77 eV/cell.


# 5
This record from Alexandria describes a geometry-optimized SrYTl2 structure. The functional is PBE.

Cell lengths 3.8496, 3.8496, 30.6033 Å; angles 90.00, 90.00, 120.00 degrees
Space group R-3m (No. 166, hexagonal axes)
Unique sites:
Sr: 0.0000 0.0000 0.0000 (multiplicity 3)
Y: 0.0000 0.0000 0.5000 (multiplicity 3)
Tl: 0.0000 0.0000 0.2464 (multiplicity 6)

Summary:
The calculated formation energy comes out at -23.9 kJ/mol of atoms. The density of states at the Fermi level comes out at 9.23 states/eV/cell. The uncorrected energy comes out at -41.61 eV/cell.


# 6
This record from Alexandria describes a geometry-optimized KCuAgTe structure. The functional is PBE.

Cell lengths 4.1144, 4.1144, 13.1000 Å; angles 90.00, 90.00, 90.00 degrees
Space group P4/nmm (No. 129, origin choice 2)
Unique sites:
K: 0.2500 0.2500 0.2288 (multiplicity 2)
Cu: 0.2500 0.7500 0.5000 (multiplicity 2)
Ag: 0.2500 0.7500 0.0000 (multiplicity 2)
Te: 0.2500 0.2500 0.6257 (multiplicity 2)

Summary:
The density of states at the Fermi level comes out at 3.05 states/eV/cell. The uncorrected energy comes out at -24.33 eV/cell.